24
Lattice="4.971 -2.872 0.000 4.971 2.872 0.000 -3.305 0.000 14.741" Properties=species:S:1:pos:R:3 comment="PBE Zr4Sc2In3N3, relaxed" dft_energy_ev_per_cell=-187.121 spacegroup="C2/c, No. 15" pbc="T T T"
In 4.145 -2.385 3.685
In 2.492 2.385 11.055
In 2.491 0.481 3.681
In 0.838 -0.481 11.052
In 5.799 0.481 3.689
In 4.146 -0.481 11.059
N 4.152 1.419 0.000
N 5.790 -1.419 0.000
N 0.833 1.436 7.370
N 2.485 -1.436 0.000
N 2.499 -1.419 7.370
N 4.138 1.419 7.370
Zr 7.461 -0.485 6.166
Zr -0.814 0.475 13.537
Zr 7.451 -0.475 1.204
Zr -0.825 0.485 8.574
Zr 5.798 0.475 8.574
Zr 0.838 -0.475 6.167
Zr 5.809 0.485 13.537
Zr 0.828 -0.485 1.204
Sc 2.501 0.473 8.573
Sc 2.483 0.473 13.538
Sc 4.153 -0.473 1.202
Sc 4.136 -0.473 6.168